Compound: Pr3Ge5Pd6
Source: Alexandria
Functional: PBE-GGA
Structure: relaxed

Lattice parameters (Å, degrees): 4.234 13.110 9.813 90.00 90.00 90.00
Space group Pmmn (No. 59, origin choice 2)
Unique sites:
Pr1 0.250 0.079 0.245 [4 per cell]
Pr2 0.250 0.750 0.257 [2 per cell]
Ge1 0.250 0.085 0.853 [4 per cell]
Ge2 0.250 0.635 0.537 [4 per cell]
Ge3 0.250 0.750 0.844 [2 per cell]
Pd1 0.250 0.057 0.591 [4 per cell]
Pd2 0.250 0.250 0.001 [2 per cell]
Pd3 0.250 0.250 0.484 [2 per cell]
Pd4 0.250 0.583 0.003 [4 per cell]

Crystal system: orthorhombic
Energy of formation from the pure elements (meV per atom): -815

=====

Compound: Pr2Ge2Pd
Source: Alexandria
Functional: PBE-GGA
Structure: relaxed

Lattice parameters (Å, degrees): 11.048 4.407 11.249 90.00 118.62 90.00
Space group C2/m (No. 12)
Unique sites:
Pr1 0.091 0.000 0.395 [4 per cell]
Pr2 0.203 0.500 0.148 [4 per cell]
Ge1 0.036 0.000 0.910 [4 per cell]
Ge2 0.126 0.500 0.611 [4 per cell]
Pd1 0.075 0.500 0.818 [4 per cell]

Crystal system: monoclinic
Energy of formation from the pure elements (meV per atom): -871

=====

Compound: PrGe3Pd2
Source: Alexandria
Functional: PBE-GGA
Structure: relaxed

Lattice parameters (Å, degrees): 8.259 9.626 6.211 90.00 90.00 90.00
Space group Cmcm (No. 63)
Unique sites:
Pr1 0.000 0.192 0.250 [4 per cell]
Ge1 0.000 0.361 0.750 [4 per cell]
Ge2 0.152 0.127 0.750 [8 per cell]
Pd1 0.175 0.500 0.000 [8 per cell]

Crystal system: orthorhombic
Energy of formation from the pure elements (meV per atom): -543
Relative energy among the computed polymorphs (meV/atom): 115

=====

Compound: PrGe3Pd3
Source: Alexandria
Functional: PBE-GGA
Structure: relaxed

Lattice parameters (Å, degrees): 6.7278 6.7278 21.0190 90.00 90.00 120.00
Space group R-3 (No. 148, hexagonal axes)
Unique sites:
Pr1 0.0000 0.0000 0.1638 [6 per cell]
Ge1 0.0250 0.2524 0.5836 [18 per cell]
Pd1 0.0453 0.2828 0.7075 [18 per cell]

Crystal system: trigonal
Energy of formation from the pure elements (meV per atom): -493
Relative energy among the computed polymorphs (meV/atom): 0

=====

Compound: Pr2GePd2
Source: Alexandria
Functional: PBE-GGA
Structure: relaxed

Lattice parameters (Å, degrees): 10.771 4.316 11.053 90.00 115.69 90.00
Space group C2/m (No. 12)
Unique sites:
Pr1 0.005 0.000 0.337 [4 per cell]
Pr2 0.192 0.000 0.114 [4 per cell]
Ge1 0.220 0.500 0.338 [4 per cell]
Pd1 0.020 0.500 0.883 [4 per cell]
Pd2 0.155 0.500 0.552 [4 per cell]

Crystal system: monoclinic
Energy of formation from the pure elements (meV per atom): -796

=====

Compound: Pr2Ge4PdPt3
Source: Alexandria
Functional: PBE-GGA
Structure: relaxed

Lattice parameters (Å, degrees): 4.402 4.402 10.078 90.00 90.00 90.00
Space group P-4m2 (No. 115)
Unique sites:
Pr1 0.000 0.500 0.248 [2 per cell]
Ge1 0.000 0.000 0.000 [1 per cell]
Ge2 0.000 0.500 0.629 [2 per cell]
Ge3 0.500 0.500 0.000 [1 per cell]
Pd1 0.000 0.000 0.500 [1 per cell]
Pt1 0.000 0.500 0.875 [2 per cell]
Pt2 0.500 0.500 0.500 [1 per cell]

Crystal system: tetragonal
Energy of formation from the pure elements (meV per atom): -929

=====

Compound: Pr2Ge3PdPt4
Source: Alexandria
Functional: PBE-GGA
Structure: relaxed

Lattice parameters (Å, degrees): 4.318 4.318 10.564 90.00 90.00 90.00
Space group P-4m2 (No. 115)
Unique sites:
Pr1 0.000 0.500 0.242 [2 per cell]
Ge1 0.000 0.000 0.000 [1 per cell]
Ge2 0.000 0.500 0.626 [2 per cell]
Pd1 0.500 0.500 0.000 [1 per cell]
Pt1 0.000 0.000 0.500 [1 per cell]
Pt2 0.000 0.500 0.855 [2 per cell]
Pt3 0.500 0.500 0.500 [1 per cell]

Crystal system: tetragonal
Energy of formation from the pure elements (meV per atom): -861

=====

Compound: Pr2Ge3PdPt12
Source: Alexandria
Functional: PBE-GGA
Structure: relaxed

Lattice parameters (Å, degrees): 8.3319 8.3319 18.6380 90.00 90.00 120.00
Space group R-3m (No. 166, hexagonal axes)
Unique sites:
Pr1 0.0000 0.0000 0.1161 [6 per cell]
Ge1 0.0000 0.5000 0.0000 [9 per cell]
Pd1 0.0000 0.0000 0.5000 [3 per cell]
Pt1 0.0083 0.5042 0.8708 [18 per cell]
Pt2 0.0199 0.5100 0.3724 [18 per cell]

Crystal system: trigonal
Energy of formation from the pure elements (meV per atom): -244